The following is a PBE with a Hubbard U calculation of a relaxed structure of PmCrOsO6, from Alexandria.

CIF file:
```
data_PmCrOsO6
_cell_length_a 5.1975
_cell_length_b 5.1975
_cell_length_c 10.0851
_cell_angle_alpha 90.00
_cell_angle_beta 90.00
_cell_angle_gamma 120.00
_space_group_name_H-M_alt 'P -3 1 c'
_space_group_IT_number 163
_space_group_name_Hall '-P 3 2c'
loop_
_atom_site_label
_atom_site_type_symbol
_atom_site_fract_x
_atom_site_fract_y
_atom_site_fract_z
_atom_site_occupancy
Pm1 Pm 0.0000 0.0000 0.0000 1
Cr1 Cr 0.3333 0.6667 0.2500 1
Os1 Os 0.3333 0.6667 0.7500 1
O1 O 0.0105 0.3692 0.6429 1
```

Calculated values
DOS at the Fermi energy	0.64	states/eV/atom
total energy	-7.8470	eV per atom
ρ	6.80	Mg/m³